1.
A PBEsol-optimized structure of BaPd2. Source: Alexandria, functional SCAN.

Geometry as extended XYZ:
```
6
Lattice="-2.411 4.982 0.940 -3.154 2.388 -3.983 -5.564 0.346 0.657" Properties=species:S:1:pos:R:3 pbc="T T T"
Ba 0.000 0.000 0.000
Ba -2.782 1.929 -0.596
Pd -5.750 2.332 -1.961
Pd -6.956 4.822 -1.491
Pd -4.174 4.649 -1.820
Pd -5.379 3.628 0.500
```

Computed properties:
Calculated volume (Å³/atom): 20.85
Spin magnetization (μB per atom): 0.000
Energy of formation (eV per atom): -0.6035
ρ (kg/m3): 9296

2.
A PBEsol-optimized structure of Rb2BaPd2. Source: Alexandria, functional SCAN.

Geometry as extended XYZ:
```
5
Lattice="-2.010 4.144 -1.013 -3.775 -2.250 -1.713 -0.252 -0.821 8.125" Properties=species:S:1:pos:R:3 pbc="T T T"
Rb -3.460 -1.061 2.524
Rb -2.578 2.136 2.874
Ba 0.000 0.000 0.000
Pd -2.596 0.105 5.581
Pd -3.441 0.970 -0.183
```

Computed properties:
Calculated volume (Å³/atom): 33.18
Spin magnetization (μB per atom): 0.000
Energy of formation (eV per atom): 0.0263
ρ (kg/m3): 5216